one.
VASP calculation (PBE) on an optimized crystal structure of TaSn2Cl.

a = 6.318 Å, b = 6.318 Å, c = 8.289 Å
α = 67.60°, β = 67.60°, γ = 90.00°
Fractional coordinates of all 8 atoms:
Sn  0.875  0.911  0.750
Sn  0.375  0.339  0.750
Sn  0.089  0.625  0.250
Ta  0.000  0.000  0.000
Cl  0.500  0.500  0.000
Ta  0.750  0.250  0.500
Cl  0.250  0.750  0.500
Sn  0.661  0.125  0.250

Properties
Space group: I-42d
Density: 5.41 g cm⁻³

two.
VASP calculation (PBE) on an optimized crystal structure of TaSn2Cl.

a = 5.053 Å, b = 5.053 Å, c = 5.053 Å
α = 60.00°, β = 60.00°, γ = 60.00°
Each line ends with the local moment (μB).
Fractional coordinates of all 4 atoms:
Ta  0.500  0.500  0.500  0.12
Sn  0.250  0.250  0.250  0.00
Sn  0.750  0.750  0.750  0.00
Cl  0.000  0.000  0.000  0.01

Properties
Space group: Fm-3m
Density: 8.26 g cm⁻³

Most stable structure: two

one.
VASP calculation (PBE) on an optimized crystal structure of Ta2SnCl.

a = 4.124 Å, b = 4.124 Å, c = 10.242 Å
α = 78.39°, β = 78.39°, γ = 90.00°
Fractional coordinates of all 8 atoms:
Ta  0.627  0.125  0.250
Ta  0.375  0.373  0.750
Ta  0.875  0.877  0.750
Sn  0.750  0.250  0.500
Cl  0.250  0.750  0.500
Cl  0.500  0.500  0.000
Sn  0.000  0.000  0.000
Ta  0.123  0.625  0.250

Properties
Space group: I-42d
Density: 10.26 g cm⁻³

two.
VASP calculation (PBE) on an optimized crystal structure of Ta2SnCl.

a = 4.722 Å, b = 4.722 Å, c = 4.722 Å
α = 60.00°, β = 60.00°, γ = 60.00°
Fractional coordinates of all 4 atoms:
Cl  0.000  0.000  0.000
Ta  0.250  0.250  0.250
Sn  0.500  0.500  0.500
Ta  0.750  0.750  0.750

Properties
Space group: Fm-3m
Density: 11.51 g cm⁻³

Most stable structure: two